The following is a DFT calculation (PBE-GGA) of K2PdIO after structural relaxation.

**ρ**: 3.9 Mg/m³
**V**: 139.4 Å³ per cell
**ΔE_f (raw)**: -4.8 eV/f.u.
**Spin magnetization**: 0.53 μB/f.u.

The structure in CIF format:
```
data_K2PdIO
_symmetry_space_group_name_H-M 'P 4/m m m'
_symmetry_Int_Tables_number 123
_symmetry_space_group_name_Hall '-P 4 2'
_cell_length_a 5.953
_cell_length_b 5.953
_cell_length_c 3.934
_cell_angle_alpha 90.00
_cell_angle_beta 90.00
_cell_angle_gamma 90.00
loop_
_atom_site_label
_atom_site_type_symbol
_atom_site_fract_x
_atom_site_fract_y
_atom_site_fract_z
_atom_site_occupancy
K1 K 0.000 0.500 0.000 1
Pd1 Pd 0.000 0.000 0.500 1
I1 I 0.500 0.500 0.500 1
O1 O 0.000 0.000 0.000 1
```